[1]
# Y2RuBr

Y2RuBr after structural relaxation (GGA-PBEsol, the Alexandria database).

Cell and atoms, written as POSCAR:
```
Y2RuBr
1.0
3.427 0.000 0.000
0.000 3.378 0.000
-0.012 0.000 8.174
Y Ru Br
2 1 1
Cartesian
0.001 0.000 1.632 Y
3.415 0.000 6.542 Y
1.714 1.689 0.000 Ru
-0.006 1.689 4.087 Br
```

Results
total magnetization = 0.00 μB/f.u.
N(E_F) = 0.382 states/eV per atom
E_form (uncorrected) = -788 meV per atom
final energy = -28.84 eV per cell
space-group type = P2/m, No. 10
crystal system = monoclinic

[2]
# K4TaMn

K4TaMn after structural relaxation (GGA-PBEsol, the Alexandria database).

Cell and atoms, written as POSCAR:
```
K4TaMn
1.0
0.000 4.848 4.848
4.848 0.000 4.848
4.848 4.848 0.000
K Ta Mn
4 1 1
Cartesian
1.216 1.216 1.216 K
3.632 3.632 1.216 K
3.632 1.216 3.632 K
1.216 3.632 3.632 K
4.848 4.848 4.848 Ta
7.272 7.272 7.272 Mn
```

Results
total magnetization = 9.00 μB/f.u.
N(E_F) = 1.020 states/eV per atom
final energy = -16.88 eV per cell
formation energy = 1.6606 eV/atom
space-group type = F-43m, No. 216
crystal system = cubic

- The lowest final energy belongs to which entry?
  Y2RuBr